(1)
# Tb3Pr7 (GGA-PBE, relaxed)
data_Tb3Pr7
_chemical_formula_sum 'Tb3 Pr7'
_space_group_name_H-M_alt 'P 1'
_space_group_IT_number 1
_space_group_name_Hall 'P 1'
_cell_length_a 5.192
_cell_length_b 7.324
_cell_length_c 10.980
_cell_angle_alpha 119.76
_cell_angle_beta 103.68
_cell_angle_gamma 90.00
loop_
_atom_site_label
_atom_site_fract_x
_atom_site_fract_y
_atom_site_fract_z
Pr1 0.800 0.701 0.600
Tb1 0.799 0.198 0.598
Pr2 0.399 0.099 0.797
Tb2 0.201 0.802 0.402
Tb3 0.000 0.000 0.000
Pr3 0.000 0.500 0.000
Pr4 0.600 0.400 0.199
Pr5 0.200 0.299 0.400
Pr6 0.601 0.901 0.203
Pr7 0.400 0.600 0.801
# Calculated formation energy   0.013 eV per atom
# Total moment   0.00 Bohr magnetons per cell
# VASP energy   -4.7214 eV per atom
# Distance to the lowest polymorph of the same formula   0 meV/atom
# Space-group type   C2/m, No. 12
# Density of states at the Fermi level   1.49 states/eV per atom

***

(2)
# Tb3Pr (GGA-PBE, relaxed)
data_Tb3Pr
_chemical_formula_sum 'Tb3 Pr1'
_space_group_name_H-M_alt 'P 1'
_space_group_IT_number 1
_space_group_name_Hall 'P 1'
_cell_length_a 5.085
_cell_length_b 3.601
_cell_length_c 7.197
_cell_angle_alpha 89.99
_cell_angle_beta 90.00
_cell_angle_gamma 90.00
loop_
_atom_site_label
_atom_site_fract_x
_atom_site_fract_y
_atom_site_fract_z
Tb1 0.500 0.500 0.746
Pr1 0.000 0.000 0.000
Tb2 0.500 0.500 0.254
Tb3 0.000 0.000 0.500
# Calculated formation energy   0.016 eV per atom
# Total moment   0.00 Bohr magnetons per cell
# VASP energy   -4.6511 eV per atom
# Distance to the lowest polymorph of the same formula   0 meV/atom
# Space-group type   Pmmm, No. 47
# Density of states at the Fermi level   1.26 states/eV per atom

***

(3)
# Tb3Pr (GGA-PBE, relaxed)
data_Tb3Pr
_chemical_formula_sum 'Tb3 Pr1'
_space_group_name_H-M_alt 'P 1'
_space_group_IT_number 1
_space_group_name_Hall 'P 1'
_cell_length_a 5.088
_cell_length_b 5.088
_cell_length_c 5.088
_cell_angle_alpha 90.00
_cell_angle_beta 90.00
_cell_angle_gamma 90.00
loop_
_atom_site_label
_atom_site_fract_x
_atom_site_fract_y
_atom_site_fract_z
Tb1 0.500 0.000 0.500
Pr1 0.000 0.000 0.000
Tb2 0.000 0.500 0.500
Tb3 0.500 0.500 0.000
# Calculated formation energy   0.019 eV per atom
# Total moment   0.00 Bohr magnetons per cell
# VASP energy   -4.6481 eV per atom
# Distance to the lowest polymorph of the same formula   3 meV/atom
# Space-group type   Pm-3m, No. 221
# Density of states at the Fermi level   1.50 states/eV per atom